Entry from Alexandria: ZnPb3 after structural relaxation (PBE).

```
data_ZnPb3
_symmetry_space_group_name_H-M 'P 1 2/m 1'
_symmetry_Int_Tables_number 10
_cell_length_a 3.588
_cell_length_b 4.181
_cell_length_c 7.539
_cell_angle_alpha 90.00
_cell_angle_beta 95.01
_cell_angle_gamma 90.00
loop_
_symmetry_equiv_pos_as_xyz
'x,y,z'
'-x,-y,-z'
'-x,y,-z'
'x,-y,z'
loop_
_atom_site_label
_atom_site_type_symbol
_atom_site_fract_x
_atom_site_fract_y
_atom_site_fract_z
Zn1 Zn 0.000 0.000 0.000
Pb1 Pb 0.000 0.000 0.500
Pb2 Pb 0.444 0.500 0.220
```

---

Entry from Alexandria: ZrZnPb2 after structural relaxation (PBE).

```
data_ZrZnPb2
_symmetry_space_group_name_H-M 'P m m 2'
_symmetry_Int_Tables_number 25
_cell_length_a 3.468
_cell_length_b 4.331
_cell_length_c 6.427
_cell_angle_alpha 90.00
_cell_angle_beta 90.00
_cell_angle_gamma 90.00
loop_
_symmetry_equiv_pos_as_xyz
'x,y,z'
'-x,-y,z'
'-x,y,z'
'x,-y,z'
loop_
_atom_site_label
_atom_site_type_symbol
_atom_site_fract_x
_atom_site_fract_y
_atom_site_fract_z
Zr1 Zr 0.000 0.000 0.000
Zn1 Zn 0.500 0.500 0.779
Pb1 Pb 0.000 0.000 0.534
Pb2 Pb 0.500 0.500 0.231
```

---

Entry from Alexandria: ZrZn2Pb after structural relaxation (PBE).

```
data_ZrZn2Pb
_symmetry_space_group_name_H-M 'P 4/m m m'
_symmetry_Int_Tables_number 123
_symmetry_space_group_name_Hall '-P 4 2'
_cell_length_a 4.291
_cell_length_b 4.291
_cell_length_c 4.246
_cell_angle_alpha 90.00
_cell_angle_beta 90.00
_cell_angle_gamma 90.00
loop_
_atom_site_label
_atom_site_type_symbol
_atom_site_fract_x
_atom_site_fract_y
_atom_site_fract_z
Zr1 Zr 0.000 0.000 0.000
Zn1 Zn 0.000 0.500 0.500
Pb1 Pb 0.500 0.500 0.000
```

---

Entry from Alexandria: ZrZnPb after structural relaxation (PBE).

```
data_ZrZnPb
_symmetry_space_group_name_H-M 'C 1 2/m 1'
_symmetry_Int_Tables_number 12
_cell_length_a 5.651
_cell_length_b 14.146
_cell_length_c 3.276
_cell_angle_alpha 90.00
_cell_angle_beta 91.18
_cell_angle_gamma 90.00
loop_
_symmetry_equiv_pos_as_xyz
'x,y,z'
'-x,-y,-z'
'-x,y,-z'
'x,-y,z'
'x+1/2,y+1/2,z'
'-x+1/2,-y+1/2,-z'
'-x+1/2,y+1/2,-z'
'x+1/2,-y+1/2,z'
loop_
_atom_site_label
_atom_site_type_symbol
_atom_site_fract_x
_atom_site_fract_y
_atom_site_fract_z
Zr1 Zr 0.000 0.145 0.000
Zn1 Zn 0.228 0.000 0.507
Pb1 Pb 0.000 0.333 0.500
```

---

For each record above, in turn, the calculated DOS(E_F) values are 1.54 2.15 1.50 1.64 states/eV/f.u..
For each record above, in turn, the calculated calculated total energy values are -3.000 -4.267 -3.838 -4.594 eV per atom.
For each record above, in turn, the calculated total magnetization values are 0.00 0.00 0.00 0.00 μB per formula unit.